A relaxed structure of BeCd2Te, computed with PBE-GGA.

- ρ: 6730 kg/m3
- ΔE_f (raw): 7.3 kcal/mol of atoms
- Energy above the most stable polymorph in this dataset: 0.154 eV per atom
- Space group: No. 12

a = 6.917 Å, b = 6.917 Å, c = 4.881 Å
α = 110.32°, β = 110.32°, γ = 24.11°
Atoms (fractional coordinates):
Be 0.000 0.000 0.000
Cd 0.315 0.315 0.815
Cd 0.685 0.685 0.185
Te 0.500 0.500 0.500